{"formula": "MgAlSb2", "functional": "PBE-GGA", "state": "relaxed", "cell": [[0.0000, 3.6083, 3.6083], [3.6083, 0.0000, 3.6083], [3.6083, 3.6083, 0.0000]], "species": ["Sb", "Sb", "Mg", "Al"], "fractional_positions": [[0.2500, 0.2500, 0.2500], [0.7500, 0.7500, 0.7500], [0.0000, 0.0000, 0.0000], [0.5000, 0.5000, 0.5000]], "polymorph_energy_ev_per_fu": 0.59, "e_form_raw_ev_per_atom": 0.077}